Record 1
Density functional theory data (GGA-PBE) for MnTlSe2 after structural relaxation.

a b c (Å): 7.037 7.037 6.562
angles (deg): 57.57 57.57 90.00
Fractional positions:
Mn  0.500  0.500  0.000
Tl  0.750  0.250  0.500
Mn  0.250  0.750  0.500
Se  0.512  0.125  0.250
Se  0.875  0.762  0.750
Se  0.375  0.488  0.750
Se  0.238  0.625  0.250
Tl  0.000  0.000  0.000

Computed properties:
SG ... I-42d
DFT total energy ... -38.3 eV per cell
ΔE_f (raw) ... -0.1585 eV per atom

Record 2
Density functional theory data (GGA-PBE) for MnTl5Se5 after structural relaxation.

a b c (Å): 5.639 8.044 8.250
angles (deg): 112.90 90.00 110.52
Fractional positions:
Se  0.149  0.298  0.945
Tl  0.000  0.000  0.500
Tl  0.617  0.234  0.769
Mn  0.000  0.000  0.000
Se  0.500  0.000  0.000
Se  0.878  0.757  0.687
Tl  0.383  0.766  0.231
Se  0.122  0.243  0.313
Tl  0.708  0.416  0.272
Se  0.851  0.702  0.055
Tl  0.292  0.584  0.728

Computed properties:
SG ... C2/m
DFT total energy ... -41.6 eV per cell
ΔE_f (raw) ... -0.2888 eV per atom

Record 3
Density functional theory data (GGA-PBE) for MnTlSe2 after structural relaxation.

a b c (Å): 8.216 8.216 8.216
angles (deg): 29.72 29.72 29.72
Fractional positions:
Mn  0.003  0.003  0.003
Tl  0.504  0.504  0.504
Se  0.105  0.105  0.105
Se  0.639  0.639  0.639

Computed properties:
SG ... R3m
DFT total energy ... -19.7 eV per cell
ΔE_f (raw) ... -0.2976 eV per atom

Record 4
Density functional theory data (GGA-PBE) for MnTl2Se2 after structural relaxation.

a b c (Å): 6.180 6.180 6.206
angles (deg): 90.00 90.00 90.00
Fractional positions:
Se  0.654  0.154  0.000
Tl  0.803  0.303  0.500
Tl  0.197  0.697  0.500
Se  0.846  0.654  0.000
Se  0.154  0.346  0.000
Se  0.346  0.846  0.000
Tl  0.697  0.803  0.500
Mn  0.500  0.500  0.000
Tl  0.303  0.197  0.500
Mn  0.000  0.000  0.000

Computed properties:
SG ... P4/mbm
DFT total energy ... -41.3 eV per cell
ΔE_f (raw) ... 0.0425 eV per atom

Record 5
Density functional theory data (GGA-PBE) for Mn2Tl5Se5 after structural relaxation.

a b c (Å): 4.263 7.697 11.862
angles (deg): 106.05 90.00 106.08
Fractional positions:
Se  0.619  0.237  0.793
Se  0.113  0.225  0.373
Se  0.381  0.763  0.207
Tl  0.341  0.682  0.939
Tl  0.500  0.000  0.500
Tl  0.241  0.481  0.642
Tl  0.659  0.318  0.061
Mn  0.027  0.054  0.797
Se  0.887  0.775  0.627
Se  0.000  0.000  0.000
Mn  0.973  0.946  0.203
Tl  0.759  0.519  0.358

Computed properties:
SG ... C2/m
DFT total energy ... -52.0 eV per cell
ΔE_f (raw) ... -0.3705 eV per atom

Record 6
Density functional theory data (GGA-PBE) for MnTlSe2 after structural relaxation.

a b c (Å): 3.652 3.652 8.678
angles (deg): 90.00 90.00 120.00
Fractional positions:
Se  0.333  0.667  0.836
Mn  0.000  0.000  0.995
Se  0.667  0.333  0.162
Tl  0.333  0.667  0.461

Computed properties:
SG ... P3m1
DFT total energy ... -20.1 eV per cell
ΔE_f (raw) ... -0.3919 eV per atom

Record 7
Density functional theory data (GGA-PBE) for MnTlSe2 after structural relaxation.

a b c (Å): 8.220 8.220 8.220
angles (deg): 155.99 154.12 35.59
Fractional positions:
Se  0.767  0.267  0.500
Se  0.080  0.080  0.000
Mn  0.198  0.698  0.500
Tl  0.454  0.454  0.000

Computed properties:
SG ... Imm2
DFT total energy ... -19.6 eV per cell
ΔE_f (raw) ... -0.2667 eV per atom

Record 8
Density functional theory data (GGA-PBE) for MnTlSe2 after structural relaxation.

a b c (Å): 18.230 7.239 7.239
angles (deg): 61.93 96.78 83.22
Fractional positions:
Tl  0.587  0.305  0.325
Mn  0.167  0.603  0.994
Tl  0.087  0.175  0.195
Se  0.259  0.868  0.871
Se  0.922  0.259  0.850
Mn  0.667  0.506  0.897
Se  0.750  0.107  0.607
Se  0.419  0.146  0.230
Se  0.750  0.626  0.126
Mn  0.177  0.611  0.480
Mn  0.677  0.020  0.889
Se  0.081  0.730  0.646
Se  0.919  0.270  0.354
Mn  0.323  0.980  0.111
Tl  0.413  0.695  0.675
Mn  0.833  0.397  0.006
Tl  0.084  0.173  0.692
Tl  0.916  0.827  0.308
Se  0.759  0.629  0.632
Tl  0.913  0.825  0.805
Tl  0.416  0.192  0.673
Se  0.250  0.374  0.874
Se  0.422  0.650  0.241
Se  0.741  0.132  0.129
Se  0.241  0.371  0.368
Mn  0.333  0.494  0.103
Tl  0.584  0.808  0.327
Mn  0.823  0.389  0.520
Se  0.578  0.350  0.759
Se  0.250  0.893  0.393
Se  0.581  0.854  0.770
Se  0.078  0.741  0.150

Computed properties:
SG ... C2/c
DFT total energy ... -160.2 eV per cell
ΔE_f (raw) ... -0.3803 eV per atom